A geometry-optimized BaLiNpSe3 structure. Source: the Alexandria database, functional PBE-GGA.

Computed properties:
* size of the total moment: 4.00 μB/f.u.
* uncorrected formation energy: -1472 meV per atom

abc: 8.9218 4.2889 9.3302
angles: 90.00 104.71 90.00
Space group P2_1/m (No. 11)
Inequivalent atoms, fractional coordinates:
Ba: 0.1929 0.2500 0.2408
Li: 0.0853 0.2500 0.5898
Np: 0.3299 0.7500 0.8428
Se: 0.1135 0.2500 0.8668
Se: 0.2091 0.7500 0.5224
Se: 0.4491 0.7500 0.1640